Record 1
Entry from the Alexandria database: a geometry-optimized RbBeH structure (PBE).

## Properties
- Fermi-level density of states: 1.5 states/eV per cell
- ρ: 1.77 g/cm3
- DFT total energy: -2.5454 eV per atom

Cell lengths 4.1129, 6.3186, 6.9047 Å; angles 90.16, 90.21, 90.02 degrees
With the nearest neighbours (Å) after each atom.
Sites, in units of the cell vectors:
Be 0.0122 0.1610 0.7665  2 H 1.48
H 0.7648 0.9905 0.7634  2 Be 1.48
Be 0.5176 0.1611 0.7662  2 H 1.48
H 0.7651 0.3311 0.7720  2 Be 1.48
Rb 0.2657 0.6604 0.7682  4 H 2.92-2.93
Rb 0.7692 0.1571 0.2668  4 Be 3.59-3.61, 4 H 3.59-3.65

Record 2
Entry from the Alexandria database: a geometry-optimized Rb2BeH structure (PBE).

## Properties
- Fermi-level density of states: 2.5 states/eV per cell
- ρ: 2.18 g/cm3
- DFT total energy: -1.4775 eV per atom

Cell lengths 5.7964, 5.7964, 5.7964 Å; angles 60.00, 60.00, 60.00 degrees
With the nearest neighbours (Å) after each atom.
Sites, in units of the cell vectors:
Be 0.5000 0.5000 0.5000  8 Rb 3.55
H 0.0000 0.0000 0.0000  8 Rb 3.55
Rb 0.7500 0.7500 0.7500  4 H 3.55, 4 Be 3.55
Rb 0.2500 0.2500 0.2500  4 H 3.55, 4 Be 3.55

Record 3
Entry from the Alexandria database: a geometry-optimized RbBe2H structure (PBE).

## Properties
- Fermi-level density of states: 1.8 states/eV per cell
- ρ: 2.06 g/cm3
- DFT total energy: -2.7996 eV per atom

Cell lengths 3.7785, 4.2276, 10.5534 Å; angles 90.00, 91.64, 90.00 degrees
With the nearest neighbours (Å) after each atom.
Sites, in units of the cell vectors:
Be 0.5593 0.7603 0.2491  1 H 1.57
Be 0.5593 0.2397 0.2491  1 H 1.57
Be 0.0543 0.5000 0.1873  1 H 1.48
Be 0.0570 0.0000 0.2195  6 Be 2.14-2.17
Rb 0.0767 0.5000 0.5066  4 H 3.21-3.22, 5 Be 3.37-3.49
H 0.5657 0.0000 0.3629  2 Be 1.57
H 0.0416 0.5000 0.0467  1 Be 1.48
Rb 0.5338 0.0000 0.9487  4 H 3.02, 2 Be 3.33

Record 4
Entry from the Alexandria database: a geometry-optimized RbBeH3 structure (PBE).

## Properties
- Fermi-level density of states: 0.0 states/eV per cell
- ρ: 3.08 g/cm3
- DFT total energy: -2.8374 eV per atom

Cell lengths 3.7458, 3.7458, 3.7458 Å; angles 90.00, 90.00, 90.00 degrees
With the nearest neighbours (Å) after each atom.
Sites, in units of the cell vectors:
H 0.0000 0.0000 0.5000  2 Be 1.87
H 0.0000 0.5000 0.0000  2 Be 1.87
Rb 0.5000 0.5000 0.5000  12 H 2.65
Be 0.0000 0.0000 0.0000  6 H 1.87
H 0.5000 0.0000 0.0000  2 Be 1.87